# 1
# Tb3Mo5N12 (PBE, relaxed)
data_Tb3Mo5N12
_symmetry_space_group_name_H-M 'I a -3 d'
_symmetry_Int_Tables_number 230
_symmetry_space_group_name_Hall '-I 4bd 2c 3'
_cell_length_a 12.795
_cell_length_b 12.795
_cell_length_c 12.795
_cell_angle_alpha 90.00
_cell_angle_beta 90.00
_cell_angle_gamma 90.00
loop_
_atom_site_label
_atom_site_type_symbol
_atom_site_fract_x
_atom_site_fract_y
_atom_site_fract_z
_atom_site_occupancy
Tb1 Tb 0.000 0.250 0.125 1
Mo1 Mo 0.000 0.000 0.000 1
Mo2 Mo 0.000 0.250 0.375 1
N1 N 0.032 0.052 0.649 1
# Raw formation energy: -0.70 eV per atom
# VASP energy: -9.0957 eV/atom
# Spin magnetization: 0.000 μB per atom
# Density of states at the Fermi level: 0.389 states/eV per atom

# 2
# TbMoN3 (PBE, relaxed)
data_TbMoN3
_symmetry_space_group_name_H-M 'C 1 2/c 1'
_symmetry_Int_Tables_number 15
_symmetry_space_group_name_Hall '-C 2yc'
_cell_length_a 11.120
_cell_length_b 9.590
_cell_length_c 6.301
_cell_angle_alpha 90.00
_cell_angle_beta 111.82
_cell_angle_gamma 90.00
loop_
_atom_site_label
_atom_site_type_symbol
_atom_site_fract_x
_atom_site_fract_y
_atom_site_fract_z
_atom_site_occupancy
Tb1 Tb 0.000 0.088 0.250 1
Tb2 Tb 0.000 0.296 0.750 1
Mo1 Mo 0.210 0.410 0.229 1
N1 N 0.110 0.111 0.654 1
N2 N 0.132 0.244 0.158 1
N3 N 0.144 0.494 0.938 1
# Raw formation energy: -0.90 eV per atom
# VASP energy: -8.9892 eV/atom
# Spin magnetization: 0.000 μB per atom
# Density of states at the Fermi level: 0.000 states/eV per atom

# 3
# TbMo2N (PBE, relaxed)
data_TbMo2N
_symmetry_space_group_name_H-M 'R -3 m'
_symmetry_Int_Tables_number 166
_symmetry_space_group_name_Hall '-R 3 2"'
_cell_length_a 3.2976
_cell_length_b 3.2976
_cell_length_c 23.1678
_cell_angle_alpha 90.00
_cell_angle_beta 90.00
_cell_angle_gamma 120.00
loop_
_atom_site_label
_atom_site_type_symbol
_atom_site_fract_x
_atom_site_fract_y
_atom_site_fract_z
_atom_site_occupancy
Tb1 Tb 0.0000 0.0000 0.0000 1
Mo1 Mo 0.0000 0.0000 0.1267 1
N1 N 0.0000 0.0000 0.5000 1
# Raw formation energy: 0.32 eV per atom
# VASP energy: -8.3333 eV/atom
# Spin magnetization: 0.000 μB per atom
# Density of states at the Fermi level: 0.905 states/eV per atom

# 4
# Tb2MoN4 (PBE, relaxed)
data_Tb2MoN4
_symmetry_space_group_name_H-M 'P 1 21/m 1'
_symmetry_Int_Tables_number 11
_symmetry_space_group_name_Hall '-P 2yb'
_cell_length_a 5.797
_cell_length_b 5.932
_cell_length_c 6.611
_cell_angle_alpha 90.00
_cell_angle_beta 107.91
_cell_angle_gamma 90.00
loop_
_atom_site_label
_atom_site_type_symbol
_atom_site_fract_x
_atom_site_fract_y
_atom_site_fract_z
_atom_site_occupancy
Tb1 Tb 0.171 0.250 0.027 1
Tb2 Tb 0.248 0.250 0.558 1
Mo1 Mo 0.279 0.750 0.811 1
N1 N 0.048 0.510 0.750 1
N2 N 0.467 0.750 0.089 1
N3 N 0.491 0.750 0.652 1
# Distance to the lowest polymorph of the same formula: 65 kJ/mol of formula units
# Raw formation energy: -1.05 eV per atom
# VASP energy: -8.6741 eV/atom
# Spin magnetization: 0.000 μB per atom